A plane-wave DFT calculation with PBE was carried out for an optimized crystal structure of CsAgTe2PdSe.

Computed properties:
Total DFT energy (no corrections): -3.446 eV/atom

```
data_CsAgTe2PdSe
_cell_length_a 4.113
_cell_length_b 16.448
_cell_length_c 10.943
_cell_angle_alpha 90.00
_cell_angle_beta 90.00
_cell_angle_gamma 90.00
_space_group_name_H-M_alt 'C m c m'
_space_group_IT_number 63
_space_group_name_Hall '-C 2c 2'
loop_
_atom_site_label
_atom_site_fract_x
_atom_site_fract_y
_atom_site_fract_z
Cs1 0.000 0.245 0.250
Ag1 0.000 0.456 0.750
Te1 0.000 0.393 0.516
Pd1 0.000 0.000 0.000
Se1 0.000 0.057 0.750
```